## Zr2InAu (GGA-PBEsol)

Data for an optimized crystal structure of Zr2InAu.

Space group: Pm

Geometry as POSCAR:
```
Zr2InAu
1.0
3.086 0.000 0.021
0.000 4.978 0.000
-0.041 0.000 5.203
Zr Au In
2 1 1
Cartesian
2.683 2.489 1.610
2.665 0.000 4.891
1.140 0.000 2.364
1.123 2.489 4.196
```


## Zr2InAu (GGA-PBEsol)

Data for an optimized crystal structure of Zr2InAu.

Space group: Pmmm

Geometry as POSCAR:
```
Zr2InAu
1.0
3.185 0.000 0.000
0.000 4.206 0.000
0.000 0.000 5.944
In Zr Au
1 2 1
Cartesian
1.592 2.103 2.972
0.000 0.000 1.438
0.000 0.000 4.506
1.592 2.103 0.000
```


## Zr2InAu (GGA-PBEsol)

Data for an optimized crystal structure of Zr2InAu.

Space group: I4/mmm

Geometry as POSCAR:
```
Zr2InAu
1.0
-4.132 -1.281 -0.136
0.398 -1.706 3.958
0.666 5.186 -0.199
Zr Au In
2 1 1
Cartesian
-2.667 1.206 0.788
-0.401 0.993 2.835
0.000 0.000 0.000
-1.867 -1.493 1.911
```


## Zr2InAu2 (GGA-PBEsol)

Data for an optimized crystal structure of Zr2InAu2.

Energy above the most stable polymorph in this dataset, eV/f.u.: 0.26
Space group: P4/mbm

Geometry as POSCAR:
```
Zr2InAu2
1.0
3.582 0.000 0.000
0.000 7.478 0.000
0.000 0.000 7.478
Au Zr In
4 4 2
Cartesian
0.000 4.699 0.960
0.000 2.779 6.518
0.000 0.960 2.779
0.000 6.518 4.699
1.791 5.026 6.191
1.791 6.191 2.452
1.791 1.287 5.026
1.791 2.452 1.287
0.000 0.000 0.000
0.000 3.739 3.739
```


## ZrInAu3 (GGA-PBEsol)

Data for an optimized crystal structure of ZrInAu3.

Space group: Pm-3m

Geometry as POSCAR:
```
ZrInAu3
1.0
-4.374 2.081 -0.934
-0.856 -3.369 -3.500
-2.114 -2.942 3.348
In Zr Au
1 1 3
Cartesian
0.000 0.000 0.000
-3.672 -2.115 -0.543
-1.057 -1.471 1.674
-0.428 -1.684 -1.750
-2.187 1.040 -0.467
```


## IrAu5 (GGA-PBEsol)

Data for an optimized crystal structure of IrAu5.

Space group: F-43m

Geometry as POSCAR:
```
IrAu5
1.0
5.296 0.000 0.000
2.648 4.587 0.000
2.648 1.529 4.324
Ir Au
1 5
Cartesian
0.000 0.000 0.000
3.970 2.292 1.621
5.296 3.058 3.786
5.296 4.589 1.621
6.622 2.292 1.621
7.944 4.587 3.243
```


N(E_F)
In order: 3.35, 3.57, 3.72, 5.30, 3.90, 2.43
Unit: states/eV/cell
Energy relative to the elements
In order: -0.401, -0.452, -0.461, -0.542, 0.688, 0.612
Unit: eV/atom